Record 1
{"formula": "CaCdRh2", "functional": "PBE-GGA", "state": "optimized geometry", "delta_e_f_ev_per_atom": -0.040, "energy_ev_per_atom": -4.44, "volume_a3_per_cell": 73.9, "lattice": [[-1.7751, -0.5171, -4.3325], [-1.7724, -4.1539, -1.3388], [-4.6460, -0.4957, -0.5981]], "species": ["Rh", "Cd", "Ca", "Rh"], "fractional_positions": [[0.0000, 0.0000, 0.0000], [0.7500, 0.7500, 0.7500], [0.5000, 0.5000, 0.5000], [0.2500, 0.2500, 0.2500]]}

=====

Record 2
{"formula": "CaCdRh2", "functional": "PBE-GGA", "state": "optimized geometry", "delta_e_f_ev_per_atom": -0.215, "energy_ev_per_atom": -4.62, "volume_a3_per_cell": 299.9, "lattice": [[-2.7686, -1.4959, -3.5785], [3.2548, -7.6864, 0.6949], [-5.3725, -1.8300, 4.9216]], "species": ["Rh", "Rh", "Rh", "Rh", "Ca", "Cd", "Cd", "Cd", "Rh", "Cd", "Ca", "Rh", "Rh", "Ca", "Ca", "Rh"], "fractional_positions": [[0.5000, 0.0000, 0.3715], [0.0000, 0.5000, 0.1060], [0.0000, 0.5000, 0.4638], [0.0000, 0.0000, 0.9638], [0.5000, 0.2911, 0.5474], [0.0000, 0.1897, 0.2972], [0.0000, 0.3103, 0.7972], [0.0000, 0.8103, 0.2972], [0.5000, 0.0000, 0.7464], [0.0000, 0.6897, 0.7972], [0.5000, 0.2089, 0.0474], [0.0000, 0.0000, 0.6060], [0.5000, 0.5000, 0.2464], [0.5000, 0.7911, 0.0474], [0.5000, 0.7089, 0.5474], [0.5000, 0.5000, 0.8715]]}

=====

Record 3
{"formula": "Ca3CdRh8", "functional": "PBE-GGA", "state": "optimized geometry", "delta_e_f_ev_per_atom": -0.321, "energy_ev_per_atom": -5.80, "volume_a3_per_cell": 212.7, "lattice": [[5.0884, 0.0000, 1.5361], [2.3124, 4.5327, 1.5361], [-0.0070, -0.0043, 9.2192]], "species": ["Rh", "Cd", "Rh", "Rh", "Ca", "Rh", "Ca", "Rh", "Rh", "Rh", "Ca", "Rh"], "fractional_positions": [[0.6875, 0.6875, 0.9374], [0.8748, 0.8748, 0.3757], [0.9376, 0.9376, 0.6842], [0.4405, 0.9376, 0.6842], [0.3752, 0.3752, 0.8745], [0.4371, 0.4371, 0.1906], [0.5016, 0.5016, 0.4951], [0.4371, 0.9352, 0.1906], [0.1876, 0.1876, 0.4372], [0.9376, 0.4405, 0.6842], [0.9981, 0.9981, 0.0058], [0.9352, 0.4371, 0.1906]]}

=====

Record 4
{"formula": "CaCd5Rh", "functional": "PBE-GGA", "state": "optimized geometry", "delta_e_f_ev_per_atom": -0.186, "energy_ev_per_atom": -2.18, "volume_a3_per_cell": 164.6, "lattice": [[4.6724, 0.0000, 0.0000], [0.0000, 4.6724, 0.0000], [0.0000, 0.0000, 7.5388]], "species": ["Cd", "Ca", "Cd", "Cd", "Cd", "Cd", "Rh"], "fractional_positions": [[0.0000, 0.5000, 0.6976], [0.0000, 0.0000, 0.0000], [0.5000, 0.0000, 0.6976], [0.5000, 0.5000, 0.0000], [0.5000, 0.0000, 0.3024], [0.0000, 0.5000, 0.3024], [0.0000, 0.0000, 0.5000]]}